# 1
HoInRu2: relaxed, PBE.

Values from the calculation:
Formation energy (eV/atom): -0.130
Theoretical density (g cm⁻³): 10.985

Unit cell a=3.355 b=3.355 c=6.473 alpha=90.00 beta=90.00 gamma=90.00
Element x y z (fractional)
Ho  0.000  0.000  0.000
In  0.000  0.000  0.500
Ru  0.500  0.500  0.267
Ru  0.500  0.500  0.733

=====

# 2
K2PtW: relaxed, PBE.

Values from the calculation:
Formation energy (eV/atom): 0.944
Theoretical density (g cm⁻³): 5.940

Unit cell a=4.218 b=5.938 c=10.204 alpha=90.00 beta=90.00 gamma=90.00
Element x y z (fractional)
K  0.000  0.000  0.000
K  0.000  0.500  0.198
K  0.500  0.000  0.698
K  0.500  0.500  0.500
Pt  0.000  0.500  0.777
Pt  0.500  0.000  0.277
W  0.000  0.000  0.393
W  0.500  0.500  0.893

=====

# 3
MoCS2Cl: relaxed, PBE.

Values from the calculation:
Formation energy from raw total energies (eV per atom): 1.379
Theoretical density (g cm⁻³): 5.063

Unit cell a=4.063 b=4.063 c=4.122 alpha=90.00 beta=90.00 gamma=90.00
Element x y z (fractional)
Mo  0.000  0.000  0.000
C  0.500  0.500  0.500
S  0.000  0.500  0.500
S  0.500  0.000  0.500
Cl  0.500  0.500  0.000

=====

# 4
ScIr2Pb: relaxed, PBE.

Values from the calculation:
Formation energy (eV/atom): -0.216
Theoretical density (g cm⁻³): 14.100

Unit cell a=4.394 b=3.253 c=10.491 alpha=90.00 beta=90.00 gamma=90.00
Element x y z (fractional)
Sc  0.000  0.000  0.000
Sc  0.000  0.500  0.500
Ir  0.000  0.000  0.722
Ir  0.000  0.500  0.222
Ir  0.500  0.000  0.558
Ir  0.500  0.500  0.058
Pb  0.500  0.000  0.299
Pb  0.500  0.500  0.799

=====

Record order is preserved below.
Volume: 72.85 255.59 68.07 149.95 Å³/cell